# 1
PBEsol Y2TlPO, relaxed; symmetry = P4/mmm; raw formation energy = -0.018 eV per atom; DOS(E_F) = 0.698 states/eV per atom; ΔE to the lowest computed polymorph = 0.000 eV per atom
1.0
-3.168 2.650 2.554
-3.920 -2.735 -2.024
0.334 -3.383 3.924
Y Tl P O
2 1 1 1
Direct
0.000 0.500 0.000
0.000 0.000 0.500
0.500 0.000 0.000
0.000 0.000 0.000
0.500 0.500 0.500

---

# 2
PBEsol Y2TlPO, relaxed; symmetry = P4/mmm; raw formation energy = 0.723 eV per atom; DOS(E_F) = 0.637 states/eV per atom; ΔE to the lowest computed polymorph = 0.741 eV per atom
1.0
4.699 0.000 0.000
0.000 5.628 0.000
0.000 0.000 5.628
P Tl O Y
1 1 1 2
Direct
0.500 0.000 0.000
0.000 0.000 0.000
0.500 0.500 0.500
0.000 0.000 0.500
0.000 0.500 0.000

---

# 3
PBEsol TlZnP3O9, relaxed; symmetry = Pbcm; raw formation energy = -1.967 eV per atom; DOS(E_F) = 0.000 states/eV per atom
1.0
-0.162 4.167 3.011
1.701 -6.904 9.646
12.956 1.421 -1.268
O Zn P Tl
36 4 12 4
Direct
0.450 0.797 0.417
0.450 0.703 0.917
0.550 0.203 0.583
0.207 0.439 0.372
0.101 0.844 0.952
0.899 0.156 0.048
0.320 0.496 0.599
0.566 0.382 0.250
0.207 0.439 0.128
0.566 0.118 0.750
0.550 0.203 0.917
0.320 0.496 0.901
0.793 0.561 0.872
0.101 0.656 0.048
0.434 0.882 0.250
0.207 0.061 0.872
0.450 0.797 0.083
0.680 0.504 0.401
0.320 0.004 0.099
0.793 0.939 0.128
0.793 0.561 0.628
0.450 0.703 0.583
0.680 0.996 0.599
0.550 0.297 0.083
0.680 0.996 0.901
0.207 0.061 0.628
0.101 0.844 0.548
0.550 0.297 0.417
0.680 0.504 0.099
0.899 0.156 0.452
0.899 0.344 0.548
0.434 0.618 0.750
0.899 0.344 0.952
0.793 0.939 0.372
0.320 0.004 0.401
0.101 0.656 0.452
0.000 0.500 0.000
0.000 0.000 0.500
0.000 0.500 0.500
0.000 0.000 0.000
0.493 0.084 0.865
0.493 0.416 0.365
0.507 0.916 0.135
0.493 0.416 0.135
0.751 0.250 0.500
0.507 0.584 0.635
0.493 0.084 0.635
0.751 0.250 0.000
0.249 0.750 0.500
0.249 0.750 0.000
0.507 0.916 0.365
0.507 0.584 0.865
0.977 0.612 0.250
0.023 0.388 0.750
0.977 0.888 0.750
0.023 0.112 0.250

---

# 4
PBEsol Tm2P4O13, relaxed; symmetry = C222_1; raw formation energy = -2.726 eV per atom; DOS(E_F) = 0.000 states/eV per atom; ΔE to the lowest computed polymorph = 0.000 eV per atom
1.0
-0.031 0.493 -6.929
8.434 -1.069 -0.113
-1.072 -8.756 2.864
O P Tm
26 8 4
Direct
0.088 0.750 0.176
0.262 0.199 0.044
0.783 0.892 0.168
0.217 0.392 0.832
0.225 0.401 0.296
0.738 0.699 0.956
0.266 0.620 0.683
0.515 0.108 0.541
0.218 0.801 0.956
0.026 0.392 0.541
0.782 0.301 0.044
0.734 0.120 0.317
0.929 0.599 0.704
0.385 0.608 0.168
0.974 0.892 0.459
0.418 0.880 0.683
0.173 0.098 0.766
0.615 0.108 0.832
0.582 0.380 0.317
0.407 0.902 0.234
0.827 0.598 0.234
0.485 0.608 0.459
0.912 0.250 0.824
0.071 0.099 0.296
0.775 0.901 0.704
0.593 0.402 0.766
0.153 0.223 0.873
0.847 0.723 0.127
0.580 0.001 0.680
0.900 0.999 0.320
0.719 0.277 0.873
0.420 0.501 0.320
0.100 0.499 0.680
0.281 0.777 0.127
0.896 0.350 0.293
0.104 0.850 0.707
0.603 0.650 0.707
0.397 0.150 0.293

---

# 5
PBEsol Tm2P4O13, relaxed; symmetry = C2/c; raw formation energy = -2.696 eV per atom; DOS(E_F) = 0.000 states/eV per atom; ΔE to the lowest computed polymorph = 0.030 eV per atom
1.0
-2.564 -5.562 2.642
4.134 3.851 3.700
-11.383 5.659 0.864
Tm O P
4 26 8
Direct
0.305 0.615 0.953
0.311 0.615 0.453
0.695 0.385 0.047
0.689 0.385 0.547
0.451 0.530 0.096
0.079 0.530 0.596
0.100 0.227 0.899
0.873 0.773 0.601
0.082 0.201 0.655
0.549 0.470 0.904
0.661 0.983 0.555
0.918 0.799 0.345
0.427 0.505 0.596
0.573 0.495 0.404
0.127 0.227 0.399
0.678 0.017 0.945
0.118 0.201 0.155
0.258 0.000 0.250
0.302 0.614 0.782
0.339 0.017 0.445
0.900 0.773 0.101
0.078 0.505 0.096
0.922 0.495 0.904
0.688 0.386 0.718
0.698 0.386 0.218
0.322 0.983 0.055
0.312 0.614 0.282
0.921 0.470 0.404
0.882 0.799 0.845
0.742 0.000 0.750
0.170 0.025 0.368
0.830 0.975 0.632
0.146 0.975 0.132
0.854 0.025 0.868
0.751 0.523 0.838
0.228 0.477 0.662
0.772 0.523 0.338
0.249 0.477 0.162

---

# 6
PBEsol Tm2P4O13, relaxed; symmetry = P2_1/c; raw formation energy = -2.713 eV per atom; DOS(E_F) = 0.000 states/eV per atom; ΔE to the lowest computed polymorph = 0.013 eV per atom
1.0
-8.751 1.666 -0.249
-1.364 -7.872 -4.735
2.521 -7.268 11.359
Tm O P
8 52 16
Direct
0.026 0.998 0.717
0.560 0.004 0.275
0.974 0.498 0.783
0.440 0.504 0.225
0.974 0.002 0.283
0.026 0.502 0.217
0.560 0.496 0.775
0.440 0.996 0.725
0.352 0.723 0.970
0.132 0.886 0.861
0.883 0.382 0.289
0.073 0.866 0.416
0.390 0.654 0.695
0.927 0.134 0.584
0.484 0.886 0.872
0.516 0.114 0.128
0.375 0.185 0.950
0.867 0.674 0.152
0.790 0.366 0.832
0.390 0.846 0.195
0.073 0.634 0.916
0.849 0.160 0.959
0.210 0.634 0.168
0.648 0.277 0.030
0.747 0.869 0.233
0.610 0.346 0.305
0.576 0.624 0.912
0.132 0.614 0.361
0.253 0.131 0.767
0.927 0.366 0.084
0.576 0.876 0.412
0.151 0.660 0.541
0.625 0.685 0.550
0.868 0.114 0.139
0.394 0.370 0.818
0.117 0.882 0.211
0.606 0.630 0.182
0.849 0.340 0.459
0.133 0.326 0.848
0.375 0.315 0.450
0.424 0.376 0.088
0.883 0.118 0.789
0.210 0.866 0.668
0.606 0.870 0.682
0.394 0.130 0.318
0.610 0.154 0.805
0.747 0.631 0.733
0.625 0.815 0.050
0.133 0.174 0.348
0.117 0.618 0.711
0.253 0.369 0.267
0.867 0.826 0.652
0.352 0.777 0.470
0.648 0.223 0.530
0.868 0.386 0.639
0.790 0.134 0.332
0.151 0.840 0.041
0.424 0.124 0.588
0.516 0.386 0.628
0.484 0.614 0.372
0.715 0.739 0.159
0.830 0.231 0.061
0.219 0.801 0.160
0.830 0.269 0.561
0.488 0.261 0.556
0.285 0.239 0.341
0.781 0.301 0.340
0.488 0.239 0.056
0.170 0.769 0.939
0.219 0.699 0.660
0.285 0.261 0.841
0.781 0.199 0.840
0.512 0.761 0.944
0.512 0.739 0.444
0.715 0.761 0.659
0.170 0.731 0.439

---

# 7
PBEsol VP3O9, relaxed; symmetry = Cc; raw formation energy = -2.163 eV per atom; DOS(E_F) = 0.676 states/eV per atom; ΔE to the lowest computed polymorph = 0.000 eV per atom
1.0
6.467 0.000 0.000
3.233 6.604 0.008
3.233 0.945 7.604
O P V
18 6 2
Direct
0.931 0.219 0.004
0.751 0.308 0.754
0.187 0.808 0.254
0.903 0.945 0.903
0.382 0.858 0.441
0.436 0.424 0.612
0.008 0.610 0.196
0.186 0.110 0.696
0.249 0.445 0.403
0.599 0.125 0.440
0.846 0.719 0.504
0.319 0.358 0.941
0.665 0.455 0.286
0.594 0.955 0.786
0.528 0.924 0.112
0.434 0.667 0.773
0.127 0.167 0.273
0.837 0.625 0.940
0.472 0.449 0.781
0.298 0.949 0.281
0.711 0.852 0.928
0.952 0.150 0.843
0.055 0.650 0.343
0.509 0.352 0.428
0.986 0.401 0.106
0.507 0.901 0.606

---

# 8
PBEsol VP3O9, relaxed; symmetry = P2_12_12_1; raw formation energy = -2.147 eV per atom; DOS(E_F) = 0.583 states/eV per atom; ΔE to the lowest computed polymorph = 0.016 eV per atom
1.0
-1.438 5.294 6.387
3.098 -5.648 5.378
8.311 3.544 -1.066
O P V
36 12 4
Direct
0.885 0.611 0.585
0.615 0.389 0.085
0.848 0.612 0.062
0.115 0.111 0.915
0.385 0.889 0.415
0.426 0.593 0.656
0.652 0.388 0.562
0.141 0.545 0.720
0.160 0.638 0.330
0.777 0.148 0.443
0.698 0.580 0.819
0.359 0.455 0.220
0.074 0.407 0.156
0.892 0.316 0.903
0.859 0.045 0.780
0.574 0.093 0.844
0.223 0.648 0.057
0.641 0.955 0.280
0.608 0.684 0.403
0.461 0.766 0.171
0.926 0.907 0.344
0.340 0.362 0.830
0.348 0.888 0.938
0.198 0.920 0.181
0.723 0.852 0.943
0.039 0.234 0.671
0.108 0.816 0.597
0.277 0.352 0.557
0.152 0.112 0.438
0.840 0.138 0.170
0.660 0.862 0.670
0.802 0.420 0.319
0.392 0.184 0.097
0.539 0.266 0.329
0.961 0.734 0.829
0.302 0.080 0.681
0.198 0.180 0.584
0.978 0.181 0.831
0.802 0.680 0.916
0.522 0.819 0.331
0.311 0.465 0.698
0.689 0.965 0.802
0.478 0.319 0.169
0.302 0.820 0.084
0.022 0.681 0.669
0.811 0.035 0.302
0.698 0.320 0.416
0.189 0.535 0.198
0.153 0.876 0.388
0.347 0.124 0.888
0.847 0.376 0.112
0.653 0.624 0.612

---

# 9
PBEsol V2P3O12, relaxed; symmetry = P2_1/c; raw formation energy = -2.234 eV per atom; DOS(E_F) = 0.375 states/eV per atom; ΔE to the lowest computed polymorph = 0.003 eV per atom
1.0
-6.637 4.779 -2.171
-0.651 -4.237 -7.336
-7.192 -7.674 5.070
O V P
48 8 12
Direct
0.424 0.669 0.409
0.137 0.791 0.676
0.577 0.171 0.408
0.076 0.169 0.091
0.077 0.329 0.908
0.862 0.290 0.676
0.362 0.210 0.176
0.923 0.671 0.092
0.366 0.368 0.439
0.178 0.507 0.734
0.824 0.006 0.734
0.423 0.904 0.147
0.329 0.077 0.972
0.924 0.831 0.909
0.637 0.709 0.176
0.171 0.577 0.528
0.671 0.923 0.028
0.868 0.369 0.062
0.322 0.007 0.766
0.077 0.097 0.645
0.077 0.404 0.353
0.632 0.869 0.438
0.822 0.493 0.266
0.829 0.423 0.472
0.866 0.132 0.939
0.676 0.506 0.766
0.324 0.494 0.234
0.363 0.291 0.824
0.132 0.631 0.938
0.673 0.577 0.972
0.368 0.131 0.562
0.423 0.829 0.592
0.577 0.403 0.145
0.827 0.077 0.528
0.138 0.710 0.324
0.327 0.423 0.028
0.634 0.632 0.561
0.638 0.790 0.824
0.577 0.096 0.853
0.173 0.923 0.472
0.134 0.868 0.061
0.863 0.209 0.324
0.176 0.994 0.266
0.576 0.331 0.591
0.678 0.993 0.234
0.423 0.597 0.855
0.923 0.903 0.355
0.923 0.596 0.647
0.749 0.465 0.620
0.751 0.535 0.120
0.751 0.965 0.880
0.249 0.035 0.120
0.249 0.465 0.880
0.251 0.965 0.620
0.749 0.035 0.380
0.251 0.535 0.380
0.103 0.882 0.355
0.397 0.382 0.145
0.103 0.618 0.645
0.974 0.250 0.000
0.397 0.118 0.855
0.603 0.882 0.145
0.897 0.382 0.355
0.026 0.750 0.000
0.603 0.618 0.855
0.474 0.250 0.500
0.526 0.750 0.500
0.897 0.118 0.645